1.
DFT (PBE) results for an optimized crystal structure of Ta2Ni3W4N3.

Cell lengths 4.9893, 4.9893, 14.0649 Å; angles 100.21, 100.21, 60.09 degrees
Fractional coordinates of all 24 atoms:
Ta 0.0361 0.8688 0.6080
Ta 0.1312 0.9639 0.8920
Ta 0.8688 0.0361 0.1080
Ta 0.9639 0.1312 0.3920
Ni 0.0838 0.5390 0.7500
Ni 0.2919 0.7081 0.2500
Ni 0.4610 0.9162 0.7500
Ni 0.5390 0.0838 0.2500
Ni 0.7081 0.2919 0.7500
Ni 0.9162 0.4610 0.2500
W 0.1996 0.3675 0.0990
W 0.3011 0.4662 0.4011
W 0.3675 0.1996 0.5990
W 0.4662 0.3011 0.9011
W 0.5338 0.6989 0.0989
W 0.6325 0.8004 0.4010
W 0.6989 0.5338 0.5989
W 0.8004 0.6325 0.9010
N 0.0000 0.5000 0.5000
N 0.1618 0.6761 0.0000
N 0.3239 0.8382 0.5000
N 0.5000 0.0000 0.0000
N 0.6761 0.1618 0.5000
N 0.8382 0.3239 0.0000

**E**: -119.584 eV per formula unit
**Crystal system**: monoclinic
**SG**: C2/c, No. 15



2.
DFT (PBE) results for an optimized crystal structure of Na2LiCuF6.

Cell lengths 5.2908, 5.2908, 5.2904 Å; angles 119.96, 119.96, 60.04 degrees
Fractional coordinates of all 10 atoms:
Na 0.2500 0.2500 0.2498
Na 0.7500 0.7500 0.7502
Li 0.0000 0.0000 0.5000
Cu 0.5000 0.5000 0.0000
F 0.2489 0.7496 0.2498
F 0.2495 0.2495 0.7486
F 0.2504 0.7511 0.7502
F 0.7496 0.2489 0.2498
F 0.7505 0.7505 0.2514
F 0.7511 0.2504 0.7502

**Energy relative to the lowest polymorph listed for this composition**: 0.035 eV per atom
**E**: -41.151 eV per formula unit
**Crystal system**: monoclinic
**SG**: C2/m, No. 12



3.
DFT (PBE) results for an optimized crystal structure of PrBeO3.

Cell lengths 3.5015, 3.5015, 4.0799 Å; angles 90.00, 90.00, 90.00 degrees
Fractional coordinates of all 5 atoms:
Pr 0.0000 0.0000 0.0000
Be 0.5000 0.5000 0.4695
O 0.0000 0.5000 0.5484
O 0.5000 0.0000 0.5484
O 0.5000 0.5000 0.0685

**E**: -35.591 eV per formula unit
**Crystal system**: tetragonal
**SG**: P4mm, No. 99



4.
DFT (PBE) results for an optimized crystal structure of Y2SbW.

Cell lengths 5.0286, 5.0286, 5.0286 Å; angles 60.00, 60.00, 60.00 degrees
Fractional coordinates of all 4 atoms:
Y 0.0000 0.0000 0.0000
Y 0.2500 0.2500 0.2500
Sb 0.5000 0.5000 0.5000
W 0.7500 0.7500 0.7500

**E**: -29.025 eV per formula unit
**Crystal system**: cubic
**SG**: F-43m, No. 216



5.
DFT (PBE) results for an optimized crystal structure of ZrCdCuB.

Cell lengths 4.4427, 4.4427, 4.4427 Å; angles 60.00, 60.00, 60.00 degrees
Fractional coordinates of all 4 atoms:
Zr 0.0000 0.0000 0.0000
Cd 0.7500 0.7500 0.7500
Cu 0.5000 0.5000 0.5000
B 0.2500 0.2500 0.2500

**Energy relative to the lowest polymorph listed for this composition**: 0.000 eV per atom
**E**: -17.843 eV per formula unit
**Crystal system**: cubic
**SG**: F-43m, No. 216



6.
DFT (PBE) results for an optimized crystal structure of SmSnTe.

Cell lengths 5.2639, 5.2639, 5.2639 Å; angles 60.00, 60.00, 60.00 degrees
Fractional coordinates of all 3 atoms:
Sm 0.0000 0.0000 0.0000
Sn 0.7500 0.7500 0.7500
Te 0.2500 0.2500 0.2500

**E**: -13.046 eV per formula unit
**Crystal system**: cubic
**SG**: F-43m, No. 216



7.
DFT (PBE) results for an optimized crystal structure of CoSn2Mo.

Cell lengths 4.6843, 4.6843, 4.6843 Å; angles 60.00, 60.00, 60.00 degrees
Fractional coordinates of all 4 atoms:
Co 0.0000 0.0000 0.0000
Sn 0.2500 0.2500 0.2500
Sn 0.5000 0.5000 0.5000
Mo 0.7500 0.7500 0.7500

**E**: -23.270 eV per formula unit
**Crystal system**: cubic
**SG**: F-43m, No. 216



8.
DFT (PBE) results for an optimized crystal structure of PrYS2.

Cell lengths 3.9764, 3.9764, 7.0260 Å; angles 106.51, 106.51, 60.09 degrees
Fractional coordinates of all 4 atoms:
Pr 0.0000 0.0000 0.0000
Y 0.5000 0.5000 0.5000
S 0.2441 0.2441 0.7320
S 0.7559 0.7559 0.2680

**Energy relative to the lowest polymorph listed for this composition**: 0.000 eV per atom
**E**: -27.556 eV per formula unit
**Crystal system**: monoclinic
**SG**: C2/m, No. 12



9.
DFT (PBE) results for an optimized crystal structure of Zn2Au.

Cell lengths 5.0086, 5.0086, 4.3502 Å; angles 90.00, 90.00, 120.00 degrees
Fractional coordinates of all 6 atoms:
Zn 0.0000 0.0000 0.0000
Zn 0.0000 0.3218 0.5000
Zn 0.3218 0.0000 0.5000
Zn 0.6782 0.6782 0.5000
Au 0.3333 0.6667 0.0000
Au 0.6667 0.3333 0.0000

**Formation energy**: -0.161 eV/atom
**E**: -6.278 eV per formula unit
**Crystal system**: hexagonal
**SG**: P-62m, No. 189



10.
DFT (PBE) results for an optimized crystal structure of NaCd2Pt.

Cell lengths 4.3387, 4.3387, 4.0555 Å; angles 90.00, 90.00, 90.00 degrees
Fractional coordinates of all 4 atoms:
Na 0.0000 0.0000 0.0000
Cd 0.0000 0.5000 0.5000
Cd 0.5000 0.0000 0.5000
Pt 0.5000 0.5000 0.0000

**Energy relative to the lowest polymorph listed for this composition**: 0.089 eV per atom
**E**: -9.874 eV per formula unit
**Crystal system**: tetragonal
**SG**: P4/mmm, No. 123



11.
DFT (PBE) results for an optimized crystal structure of LiCd2Pd.

Cell lengths 5.6962, 5.6962, 5.6962 Å; angles 114.70, 99.10, 115.08 degrees
Fractional coordinates of all 8 atoms:
Li 0.2510 0.0010 0.2500
Li 0.7490 0.9990 0.7500
Cd 0.2493 0.0000 0.7493
Cd 0.2493 0.5000 0.2493
Cd 0.7507 0.0000 0.2507
Cd 0.7507 0.5000 0.7507
Pd 0.2509 0.5009 0.7500
Pd 0.7491 0.4991 0.2500

**Energy relative to the lowest polymorph listed for this composition**: 0.036 eV per atom
**E**: -10.396 eV per formula unit
**Crystal system**: orthorhombic
**SG**: Imma, No. 74



12.
DFT (PBE) results for an optimized crystal structure of Pr3Dy3Te2Os.

Cell lengths 8.4949, 8.4949, 4.1260 Å; angles 90.00, 90.00, 120.00 degrees
Fractional coordinates of all 9 atoms:
Pr 0.0000 0.4001 0.0000
Pr 0.4001 0.0000 0.0000
Pr 0.5999 0.5999 0.0000
Dy 0.0000 0.7670 0.5000
Dy 0.2330 0.2330 0.5000
Dy 0.7670 0.0000 0.5000
Te 0.3333 0.6667 0.5000
Te 0.6667 0.3333 0.5000
Os 0.0000 0.0000 0.0000

**Energy relative to the lowest polymorph listed for this composition**: 0.000 eV per atom
**E**: -52.431 eV per formula unit
**Crystal system**: hexagonal
**SG**: P-62m, No. 189